Compound: Rb3Tm3USe8
Source: Alexandria via LeMat-Bulk
Functional: PBE-GGA
Structure: optimized geometry

Cell: 14.391 8.319 9.442 Å, 90.00 120.58 90.00°
Space group C2/m (No. 12)
Symmetry-distinct sites (fractional):
Rb 0.000 0.000 0.000
Rb 0.250 0.250 0.000
Tm 0.000 0.500 0.500
Tm 0.250 0.250 0.500
U 0.000 0.000 0.500
Se 0.020 0.250 0.309
Se 0.230 0.000 0.691
Se 0.231 0.500 0.692

Density   5.573 g/cm3
Fermi-level density of states   11.80 states/eV/cell
Formation energy (no corrections)   -1.62 eV per atom
Crystal system   monoclinic